(1)
# BaPmAs2 (PBE, optimized geometry)
data_BaPmAs2
_chemical_formula_sum 'Ba1 Pm1 As2'
_cell_length_a 5.7469
_cell_length_b 5.7469
_cell_length_c 3.3375
_cell_angle_alpha 90.00
_cell_angle_beta 90.00
_cell_angle_gamma 90.00
_symmetry_space_group_name_H-M 'P 4/m m m'
_symmetry_Int_Tables_number 123
_symmetry_space_group_name_Hall '-P 4 2'
loop_
_atom_site_label
_atom_site_fract_x
_atom_site_fract_y
_atom_site_fract_z
_atom_site_occupancy
Ba1 0.0000 0.0000 0.0000 1
Pm1 0.5000 0.5000 0.0000 1
As1 0.0000 0.5000 0.5000 1
# **Size of the total moment**: 0.26 Bohr magnetons per cell
# **Density**: 6.51 Mg/m³
# **V**: 27.6 Å³/atom
# **ΔE to the lowest computed polymorph**: 259 meV/atom

(2)
# BaPmAs4 (PBE, optimized geometry)
data_BaPmAs4
_chemical_formula_sum 'Ba4 Pm4 As16'
_cell_length_a 8.3444
_cell_length_b 8.3444
_cell_length_c 8.3444
_cell_angle_alpha 90.00
_cell_angle_beta 90.00
_cell_angle_gamma 90.00
_symmetry_space_group_name_H-M 'F -4 3 m'
_symmetry_Int_Tables_number 216
_symmetry_space_group_name_Hall 'F -4 2 3'
loop_
_atom_site_label
_atom_site_fract_x
_atom_site_fract_y
_atom_site_fract_z
_atom_site_occupancy
Ba1 0.0000 0.0000 0.0000 1
Pm1 0.2500 0.2500 0.7500 1
As1 0.1229 0.1229 0.3771 1
# **Size of the total moment**: 0.00 Bohr magnetons per cell
# **Density**: 6.65 Mg/m³
# **Raw total energy**: -112.4 eV for the cell shown
# **V**: 24.2 Å³/atom

(3)
# BaPmAs2 (PBE, optimized geometry)
data_BaPmAs2
_chemical_formula_sum 'Ba3 Pm3 As6'
_cell_length_a 4.3329
_cell_length_b 4.3329
_cell_length_c 23.6620
_cell_angle_alpha 90.00
_cell_angle_beta 90.00
_cell_angle_gamma 120.00
_symmetry_space_group_name_H-M 'R 3 m'
_symmetry_Int_Tables_number 160
_symmetry_space_group_name_Hall 'R 3 -2"'
loop_
_atom_site_label
_atom_site_fract_x
_atom_site_fract_y
_atom_site_fract_z
_atom_site_occupancy
Ba1 0.0000 0.0000 0.0000 1
Pm1 0.0000 0.0000 0.1721 1
As1 0.0000 0.0000 0.5751 1
As2 0.0000 0.0000 0.7650 1
# **Size of the total moment**: 0.00 Bohr magnetons per cell
# **Density**: 5.60 Mg/m³
# **V**: 32.1 Å³/atom
# **ΔE to the lowest computed polymorph**: 58 meV/atom

(4)
# BaPmAs2 (PBE, optimized geometry)
data_BaPmAs2
_chemical_formula_sum 'Ba4 Pm4 As8'
_cell_length_a 7.6635
_cell_length_b 7.6635
_cell_length_c 7.6635
_cell_angle_alpha 90.00
_cell_angle_beta 90.00
_cell_angle_gamma 90.00
_symmetry_space_group_name_H-M 'F m -3 m'
_symmetry_Int_Tables_number 225
_symmetry_space_group_name_Hall '-F 4 2 3'
loop_
_atom_site_label
_atom_site_fract_x
_atom_site_fract_y
_atom_site_fract_z
_atom_site_occupancy
Ba1 0.0000 0.0000 0.0000 1
Pm1 0.0000 0.0000 0.5000 1
As1 0.2500 0.2500 0.2500 1
# **Size of the total moment**: 0.00 Bohr magnetons per cell
# **Density**: 6.38 Mg/m³
# **V**: 28.1 Å³/atom
# **ΔE to the lowest computed polymorph**: 277 meV/atom